1.
Material: CaCuH2F8
Method: DFT, PBE
State: optimized geometry

The structure in POSCAR format:
```
CaCuH2F8
1.0
5.017 0.736 -0.463
0.765 4.690 -0.016
-0.689 0.102 6.627
Ca Cu H F
1 1 2 8
direct
0.000 0.000 0.500
0.000 0.000 0.000
0.473 0.269 0.668
0.527 0.731 0.332
0.253 0.768 0.257
0.779 0.771 0.980
0.803 0.220 0.179
0.747 0.232 0.743
0.221 0.229 0.020
0.197 0.780 0.821
0.715 0.702 0.430
0.285 0.298 0.570
```

Calculated values
**V**: 12.6 Å³ per atom


2.
Material: CaCu2HgF8
Method: DFT, PBE
State: optimized geometry

The structure in POSCAR format:
```
CaCu2HgF8
1.0
5.518 0.000 0.000
0.000 5.518 0.000
-2.759 -2.759 5.386
Ca Cu Hg F
1 2 1 8
direct
0.750 0.250 0.500
0.500 0.500 0.000
0.250 0.750 0.500
0.000 0.000 0.000
0.705 0.853 0.120
0.415 0.267 0.120
0.595 0.649 0.614
0.018 0.965 0.614
0.035 0.405 0.386
0.351 0.982 0.386
0.147 0.585 0.880
0.733 0.295 0.880
```

Calculated values
**V**: 13.7 Å³ per atom
**Raw formation energy**: -2.05 eV per atom


3.
Material: CaCuHgF6
Method: DFT, PBE
State: optimized geometry

The structure in POSCAR format:
```
CaCuHgF6
1.0
-5.665 0.174 -0.248
2.982 -1.792 -4.481
-0.422 -9.003 3.320
Ca Cu Hg F
2 2 2 12
direct
0.333 0.667 0.250
0.667 0.333 0.750
0.667 0.333 0.250
0.333 0.667 0.750
0.000 0.000 0.000
0.000 0.000 0.500
0.668 0.637 0.134
0.969 0.332 0.134
0.332 0.969 0.634
0.031 0.668 0.866
0.363 0.332 0.366
0.969 0.637 0.366
0.637 0.969 0.866
0.668 0.031 0.366
0.031 0.363 0.634
0.363 0.031 0.134
0.637 0.668 0.634
0.332 0.363 0.866
```

Calculated values
**V**: 14.9 Å³ per atom
**Raw formation energy**: -2.24 eV per atom


4.
Material: CaCu2IF
Method: DFT, PBE
State: optimized geometry

The structure in POSCAR format:
```
CaCu2IF
1.0
-4.666 1.196 2.584
1.379 -2.000 3.417
2.207 4.653 1.833
I Ca Cu F
1 1 2 1
direct
0.500 0.500 0.500
0.000 0.000 0.000
0.000 0.000 0.500
0.500 0.000 0.000
0.000 0.500 0.000
```

Calculated values
**V**: 25.1 Å³ per atom
**Raw formation energy**: -0.36 eV per atom


5.
Material: KCaCu2F8
Method: DFT, PBE
State: optimized geometry

The structure in POSCAR format:
```
KCaCu2F8
1.0
5.797 0.000 0.000
0.000 5.797 0.000
-2.898 -2.898 4.917
K Ca Cu F
1 1 2 8
direct
0.750 0.250 0.500
0.000 0.000 0.000
0.500 0.500 0.000
0.250 0.750 0.500
0.682 0.798 0.032
0.350 0.234 0.032
0.574 0.731 0.536
0.962 0.805 0.536
0.195 0.426 0.464
0.269 0.038 0.464
0.202 0.650 0.968
0.766 0.318 0.968
```

Calculated values
**V**: 13.8 Å³ per atom
**Raw formation energy**: -2.27 eV per atom


6.
Material: KCa2CuF8
Method: DFT, PBE
State: optimized geometry

The structure in POSCAR format:
```
KCa2CuF8
1.0
4.252 -0.013 0.381
0.111 5.646 0.059
0.671 0.151 8.026
K Ca Cu F
1 2 1 8
direct
0.000 0.000 0.500
0.398 0.468 0.731
0.602 0.532 0.269
0.000 0.000 0.000
0.109 0.642 0.246
0.695 0.781 0.018
0.800 0.137 0.187
0.891 0.358 0.754
0.305 0.219 0.982
0.200 0.863 0.813
0.516 0.729 0.513
0.484 0.271 0.487
```

Calculated values
**V**: 15.9 Å³ per atom
**Raw formation energy**: -2.86 eV per atom


7.
Material: K3CaCu2F9
Method: DFT, PBE
State: optimized geometry

The structure in POSCAR format:
```
K3CaCu2F9
1.0
-2.567 -0.203 5.344
-1.791 -3.682 -4.292
4.939 -4.948 2.185
K Ca Cu F
3 1 2 9
direct
0.333 0.667 0.680
0.000 0.000 0.000
0.667 0.333 0.320
0.000 0.000 0.500
0.333 0.667 0.156
0.667 0.333 0.844
0.827 0.173 0.681
0.827 0.654 0.681
0.346 0.173 0.681
0.654 0.827 0.319
0.173 0.346 0.319
0.173 0.827 0.319
0.500 0.000 0.000
0.000 0.500 0.000
0.500 0.500 0.000
```

Calculated values
**V**: 14.9 Å³ per atom
**Raw formation energy**: -2.54 eV per atom


8.
Material: KCaCuF6
Method: DFT, PBE
State: optimized geometry

The structure in POSCAR format:
```
KCaCuF6
1.0
7.434 0.000 0.000
0.000 7.533 0.000
-3.717 -3.767 4.880
K Ca Cu F
2 2 2 12
direct
0.848 0.598 0.696
0.152 0.402 0.304
0.500 0.000 0.500
0.000 0.000 0.500
0.500 0.500 0.000
0.500 0.000 0.000
0.572 0.822 0.144
0.874 0.124 0.749
0.812 0.167 0.268
0.455 0.601 0.268
0.455 0.167 0.268
0.812 0.601 0.268
0.428 0.178 0.856
0.126 0.876 0.251
0.188 0.833 0.732
0.545 0.399 0.732
0.545 0.833 0.732
0.188 0.399 0.732
```

Calculated values
**V**: 15.2 Å³ per atom
**Raw formation energy**: -2.58 eV per atom


9.
Material: K2CaCuF6
Method: DFT, PBE
State: optimized geometry

The structure in POSCAR format:
```
K2CaCuF6
1.0
6.043 0.000 0.000
0.000 6.048 0.000
0.000 0.000 8.549
K Ca Cu F
4 2 2 12
direct
0.500 0.750 0.250
0.000 0.250 0.750
0.500 0.750 0.750
0.000 0.250 0.250
0.000 0.750 0.500
0.500 0.250 0.000
0.500 0.250 0.500
0.000 0.750 0.000
0.500 0.249 0.261
0.500 0.249 0.739
0.000 0.751 0.239
0.000 0.751 0.761
0.261 0.010 0.500
0.739 0.010 0.500
0.260 0.489 0.500
0.740 0.489 0.500
0.760 0.511 0.000
0.240 0.511 0.000
0.239 0.990 0.000
0.761 0.990 0.000
```

Calculated values
**V**: 15.6 Å³ per atom
**Raw formation energy**: -2.75 eV per atom


10.
Material: K4CaCu3F12
Method: DFT, PBE
State: optimized geometry

The structure in POSCAR format:
```
K4CaCu3F12
1.0
7.233 0.000 0.000
-2.411 6.820 0.000
-2.411 -3.410 5.906
K Ca Cu F
4 1 3 12
direct
0.500 0.500 0.500
0.000 0.000 0.500
0.500 0.000 0.000
0.000 0.500 0.000
0.000 0.000 0.000
0.500 0.000 0.500
0.500 0.500 0.000
0.000 0.500 0.500
0.250 0.500 0.750
0.736 0.000 0.736
0.264 0.000 0.264
0.750 0.500 0.250
0.736 0.736 0.000
0.264 0.264 0.000
0.750 0.250 0.500
0.250 0.750 0.500
0.500 0.250 0.750
0.000 0.736 0.736
0.500 0.750 0.250
0.000 0.264 0.264
```

Calculated values
**V**: 14.6 Å³ per atom
**Raw formation energy**: -2.43 eV per atom


11.
Material: LiCaCuF6
Method: DFT, PBE
State: optimized geometry

The structure in POSCAR format:
```
LiCaCuF6
1.0
-0.678 3.245 -3.603
-4.849 -0.438 0.519
0.043 7.132 6.415
Li Ca Cu F
2 2 2 12
direct
0.500 0.500 0.504
0.000 0.000 0.004
0.500 0.500 0.169
0.000 0.000 0.669
0.500 0.500 0.833
0.000 0.000 0.333
0.196 0.804 0.478
0.804 0.196 0.478
0.304 0.304 0.978
0.696 0.696 0.978
0.177 0.823 0.177
0.823 0.177 0.177
0.323 0.323 0.677
0.677 0.677 0.677
0.778 0.222 0.842
0.222 0.778 0.842
0.722 0.722 0.342
0.278 0.278 0.342
```

Calculated values
**V**: 12.8 Å³ per atom
**Raw formation energy**: -2.57 eV per atom


12.
Material: Li2CaCuF
Method: DFT, PBE
State: optimized geometry

The structure in POSCAR format:
```
Li2CaCuF
1.0
4.224 0.000 0.000
0.000 4.224 0.000
0.000 0.000 4.698
Ca Li Cu F
1 2 1 1
direct
0.000 0.000 0.500
0.000 0.500 0.000
0.500 0.000 0.000
0.500 0.500 0.500
0.000 0.000 0.000
```

Calculated values
**V**: 16.8 Å³ per atom
**Raw formation energy**: -1.05 eV per atom


13.
Material: Li4CaCu3F12
Method: DFT, PBE
State: optimized geometry

The structure in POSCAR format:
```
Li4CaCu3F12
1.0
6.476 0.000 0.000
-2.159 6.106 0.000
-2.159 -3.053 5.288
Li Ca Cu F
4 1 3 12
direct
0.500 0.000 0.000
0.500 0.500 0.500
0.000 0.500 0.000
0.000 0.000 0.500
0.000 0.000 0.000
0.000 0.500 0.500
0.500 0.500 0.000
0.500 0.000 0.500
0.306 0.830 0.136
0.694 0.170 0.864
0.694 0.830 0.524
0.864 0.694 0.170
0.830 0.136 0.306
0.170 0.476 0.306
0.476 0.306 0.170
0.170 0.864 0.694
0.306 0.170 0.476
0.136 0.306 0.830
0.830 0.524 0.694
0.524 0.694 0.830
```

Calculated values
**V**: 10.5 Å³ per atom
**Raw formation energy**: -2.44 eV per atom


14.
Material: CaMgCuF6
Method: DFT, PBE
State: optimized geometry

The structure in POSCAR format:
```
CaMgCuF6
1.0
-4.785 -0.401 -2.160
0.908 -2.014 4.780
-2.571 8.579 4.103
Ca Mg Cu F
2 2 2 12
direct
0.000 0.000 0.000
0.000 0.000 0.500
0.333 0.667 0.250
0.667 0.333 0.750
0.667 0.333 0.250
0.333 0.667 0.750
0.644 0.650 0.138
0.006 0.356 0.138
0.356 0.006 0.638
0.994 0.644 0.862
0.350 0.356 0.362
0.006 0.650 0.362
0.650 0.006 0.862
0.644 0.994 0.362
0.994 0.350 0.638
0.350 0.994 0.138
0.650 0.644 0.638
0.356 0.350 0.862
```

Calculated values
**V**: 13.1 Å³ per atom
**Raw formation energy**: -2.97 eV per atom


15.
Material: CaMgCu2F8
Method: DFT, PBE
State: optimized geometry

The structure in POSCAR format:
```
CaMgCu2F8
1.0
5.293 0.000 0.000
0.000 5.293 0.000
-2.647 -2.647 5.262
Ca Mg Cu F
1 1 2 8
direct
0.750 0.250 0.500
0.000 0.000 0.000
0.500 0.500 0.000
0.250 0.750 0.500
0.744 0.850 0.115
0.371 0.265 0.115
0.617 0.667 0.633
0.017 0.967 0.633
0.033 0.383 0.367
0.333 0.983 0.367
0.150 0.629 0.885
0.735 0.256 0.885
```

Calculated values
**V**: 12.3 Å³ per atom
**Raw formation energy**: -2.53 eV per atom


16.
Material: CaCuN2F
Method: DFT, PBE
State: optimized geometry

The structure in POSCAR format:
```
CaCuN2F
1.0
3.673 0.000 0.000
0.000 3.673 0.000
0.000 0.000 4.597
Ca N Cu F
1 2 1 1
direct
0.500 0.500 0.500
0.000 0.500 0.000
0.500 0.000 0.000
0.000 0.000 0.000
0.000 0.000 0.500
```

Calculated values
**V**: 12.4 Å³ per atom
**Raw formation energy**: -0.23 eV per atom
**Energy relative to the lowest polymorph listed for this composition**: 0.000 eV per atom


17.
Material: CaCuN2F
Method: DFT, PBE
State: optimized geometry

The structure in POSCAR format:
```
CaCuN2F
1.0
4.697 0.000 0.000
0.000 4.697 0.000
0.000 0.000 4.213
Ca N Cu F
1 2 1 1
direct
0.000 0.000 0.000
0.000 0.500 0.000
0.500 0.000 0.000
0.500 0.500 0.500
0.000 0.000 0.500
```

Calculated values
**V**: 18.6 Å³ per atom
**Raw formation energy**: 0.76 eV per atom
**Energy relative to the lowest polymorph listed for this composition**: 0.983 eV per atom


18.
Material: NaCa2CuF8
Method: DFT, PBE
State: optimized geometry

The structure in POSCAR format:
```
NaCa2CuF8
1.0
4.121 -0.258 0.152
-0.225 5.396 -0.243
0.227 -0.320 7.661
Na Ca Cu F
1 2 1 8
direct
0.000 0.000 0.500
0.450 0.478 0.737
0.550 0.522 0.263
0.000 0.000 0.000
0.077 0.682 0.252
0.658 0.758 0.997
0.845 0.143 0.203
0.923 0.318 0.748
0.342 0.242 0.003
0.155 0.857 0.797
0.551 0.744 0.528
0.449 0.256 0.472
```

Calculated values
**V**: 14.1 Å³ per atom
**Raw formation energy**: -2.85 eV per atom


19.
Material: Na2CaCuF8
Method: DFT, PBE
State: optimized geometry

The structure in POSCAR format:
```
Na2CaCuF8
1.0
4.448 -0.198 0.006
-0.185 5.275 -0.006
0.019 0.008 6.936
Na Ca Cu F
2 1 1 8
direct
0.497 0.497 0.762
0.503 0.503 0.238
0.000 0.000 0.500
0.000 0.000 0.000
0.118 0.786 0.211
0.656 0.792 0.998
0.875 0.208 0.208
0.882 0.214 0.789
0.344 0.208 0.002
0.125 0.792 0.792
0.565 0.755 0.502
0.435 0.245 0.498
```

Calculated values
**V**: 13.5 Å³ per atom
**Raw formation energy**: -2.34 eV per atom


| no. | total magnetization (μB/cell) | DFT total energy (eV/cell) |
| --- | --- | --- |
| 1 | 1.041 | -50.75 |
| 2 | 2.022 | -50.04 |
| 3 | 2.000 | -75.51 |
| 4 | 0.000 | -15.39 |
| 5 | 0.822 | -53.50 |
| 6 | 0.140 | -58.43 |
| 7 | 2.012 | -68.42 |
| 8 | 2.486 | -83.21 |
| 9 | 2.000 | -93.95 |
| 10 | 3.017 | -89.70 |
| 11 | 3.974 | -84.66 |
| 12 | 0.000 | -17.03 |
| 13 | 2.905 | -93.30 |
| 14 | 2.000 | -91.30 |
| 15 | 2.000 | -57.14 |
| 16 | 1.585 | -25.75 |
| 17 | 4.000 | -20.84 |
| 18 | 0.085 | -58.53 |
| 19 | 1.543 | -51.84 |